Entry 1:
VASP calculation (PBE) on a geometry-optimized CsSb5Te7 structure.

Unit cell a=4.735 b=7.558 c=27.508 alpha=89.98 beta=90.00 gamma=108.26
Atoms (fractional coordinates):
1 Cs 0.791 0.583 0.250
2 Cs 0.209 0.418 0.750
3 Te 0.894 0.788 0.400
4 Te 0.894 0.788 0.100
5 Te 0.164 0.329 0.161
6 Te 0.836 0.672 0.661
7 Te 0.107 0.213 0.900
8 Te 0.373 0.746 0.536
9 Te 0.373 0.746 0.964
10 Te 0.508 0.016 0.750
11 Te 0.628 0.255 0.464
12 Te 0.107 0.213 0.600
13 Te 0.165 0.329 0.339
14 Te 0.836 0.672 0.839
15 Te 0.628 0.255 0.036
16 Te 0.492 0.985 0.250
17 Sb 0.267 0.533 0.432
18 Sb 0.542 0.084 0.355
19 Sb 0.458 0.917 0.854
20 Sb 0.542 0.084 0.146
21 Sb 0.734 0.468 0.932
22 Sb 0.734 0.468 0.568
23 Sb 0.000 0.001 0.000
24 Sb 0.000 0.001 0.500
25 Sb 0.267 0.533 0.068
26 Sb 0.458 0.917 0.645

Computed properties:
- space-group type = Cmcm
- magnetic moment (Bohr magnetons per cell) = 0.000
- DFT total energy (Ha/atom) = -0.130


Entry 2:
VASP calculation (PBE) on a geometry-optimized Cs2Sb3Te6 structure.

Unit cell a=7.552 b=7.555 c=9.738 alpha=82.55 beta=74.96 gamma=60.01
Atoms (fractional coordinates):
1 Te 0.935 0.669 0.188
2 Te 0.065 0.331 0.812
3 Te 0.728 0.000 0.812
4 Te 0.272 0.000 0.188
5 Te 0.396 0.669 0.812
6 Te 0.604 0.331 0.188
7 Cs 0.166 0.667 0.500
8 Cs 0.834 0.333 0.500
9 Sb 0.331 0.337 0.000
10 Sb 0.669 0.663 0.000
11 Sb 0.000 0.000 0.000

Computed properties:
- space-group type = C2/m
- magnetic moment (Bohr magnetons per cell) = 0.000
- DFT total energy (Ha/atom) = -0.125


Entry 3:
VASP calculation (PBE) on a geometry-optimized Cs2SbTe5 structure.

Unit cell a=7.892 b=7.040 c=8.600 alpha=114.17 beta=117.31 gamma=90.00
Atoms (fractional coordinates):
1 Te 0.289 0.712 0.021
2 Te 0.732 0.712 0.021
3 Te 0.757 0.757 0.514
4 Te 0.732 0.309 0.021
5 Te 0.289 0.309 0.021
6 Cs 0.258 0.758 0.516
7 Cs 0.763 0.263 0.526
8 Sb 0.957 0.957 0.914

Computed properties:
- space-group type = Imm2
- magnetic moment (Bohr magnetons per cell) = 0.000
- DFT total energy (Ha/atom) = -0.113